# 1
First-principles (PBE) data for a relaxed structure of YTa2Sb, as listed in Alexandria.

Cell and atoms, written as extended XYZ:
```
4
Lattice="0.0000 3.4847 3.4847 3.4847 0.0000 3.4847 3.4847 3.4847 0.0000" Properties=species:S:1:pos:R:3 pbc="T T T"
Y 0.0000 0.0000 0.0000
Ta 1.7424 1.7424 1.7424
Ta 3.4847 3.4847 3.4847
Sb 5.2271 5.2271 5.2271
```

Properties
Its energy is -8.43 eV per atom. As for the size of the total moment: 0.000 μB per formula unit. The space-group type is F-43m. The density of states at the Fermi level is 2.06 states/eV per cell. As for the energy relative to the elements, uncorrected: 147 meV per atom.

---

# 2
First-principles (PBE) data for a relaxed structure of RbTlSeBr2, as listed in Alexandria.

Cell and atoms, written as extended XYZ:
```
5
Lattice="5.9037 0.0000 0.0000 0.0000 5.9037 0.0000 0.0000 0.0000 5.3977" Properties=species:S:1:pos:R:3 pbc="T T T"
Rb 0.0000 0.0000 0.0000
Tl 2.9518 2.9518 2.6988
Se 2.9518 2.9518 0.0000
Br 0.0000 2.9518 2.6988
Br 2.9518 0.0000 2.6988
```

Properties
Its energy is -2.75 eV per atom. As for the size of the total moment: 0.485 μB per formula unit. The space-group type is P4/mmm. The density of states at the Fermi level is 5.32 states/eV per cell. As for the energy relative to the elements, uncorrected: -721 meV per atom.